1.
An optimized crystal structure of La2TaHg. Source: Alexandria via LeMat-Bulk, functional PBE.

Output
The total magnetic moment comes out at 0.00 μB per formula unit. As for the density of states at the Fermi level: 6.70 states/eV/cell. For the energy of formation, the calculation gives 0.6924 eV/atom. The crystal system is tetragonal.

```
La2TaHg
1.0
-2.4948 3.6972 0.0717
-3.5849 -2.3969 -1.1408
-5.2684 -1.0592 10.0603
La Hg Ta
4 2 2
direct
0.6097 0.1250 0.2500
0.1403 0.6250 0.2500
0.3750 0.3903 0.7500
0.8750 0.8597 0.7500
0.0000 0.0000 0.0000
0.7500 0.2500 0.5000
0.5000 0.5000 0.0000
0.2500 0.7500 0.5000
```

---

2.
An optimized crystal structure of Mn4BeCu. Source: Alexandria via LeMat-Bulk, functional PBE.

Output
The total magnetic moment comes out at 0.00 μB per formula unit. As for the density of states at the Fermi level: 7.12 states/eV/cell. For the energy of formation, the calculation gives 0.4062 eV/atom. The crystal system is cubic.

```
Mn4BeCu
1.0
2.5547 2.4310 2.9341
-1.2865 0.3861 4.3865
2.3815 -2.1397 3.2856
Mn Be Cu
4 1 1
direct
0.8752 0.3749 0.3749
0.3749 0.3749 0.8752
0.3749 0.8752 0.3749
0.3749 0.3749 0.3749
0.7500 0.7500 0.7500
0.0000 0.0000 0.0000
```

---

3.
An optimized crystal structure of Tb12Nd7Mg. Source: Alexandria via LeMat-Bulk, functional PBE.

Output
The total magnetic moment comes out at 0.00 μB per formula unit. As for the density of states at the Fermi level: 30.99 states/eV/cell. For the energy of formation, the calculation gives 0.1992 eV/atom. The crystal system is trigonal.

```
Tb12Nd7Mg
1.0
-5.5508 1.4212 6.6556
2.3822 -7.3169 4.2329
6.0438 4.1453 4.8392
Tb Nd Mg
12 7 1
direct
0.8599 0.2483 0.7378
0.7517 0.2622 0.1401
0.6135 0.1383 0.4999
0.8617 0.5001 0.3865
0.2622 0.1401 0.7517
0.5001 0.3865 0.8617
0.4999 0.6135 0.1383
0.7378 0.8599 0.2483
0.1383 0.4999 0.6135
0.3865 0.8617 0.5001
0.2483 0.7378 0.8599
0.1401 0.7517 0.2622
0.8492 0.6038 0.9195
0.3962 0.0805 0.1508
0.0805 0.1508 0.3962
0.5000 0.5000 0.5000
0.9195 0.8492 0.6038
0.6038 0.9195 0.8492
0.1508 0.3962 0.0805
0.0000 0.0000 0.0000
```

---

4.
An optimized crystal structure of Al2AgW. Source: Alexandria via LeMat-Bulk, functional PBE.

Output
The total magnetic moment comes out at 0.00 μB per formula unit. As for the density of states at the Fermi level: 1.86 states/eV/cell. For the energy of formation, the calculation gives 0.0878 eV/atom. The crystal system is monoclinic.

```
Al2AgW
1.0
-1.8377 1.1494 -3.6101
-0.8143 -2.6252 -0.4214
-4.7466 1.0177 2.7402
Ag W Al
1 1 2
direct
0.5000 0.7500 0.7500
0.5000 0.2500 0.2500
0.0000 0.7531 0.0239
0.0000 0.7469 0.4761
```

---

5.
An optimized crystal structure of NaRePS2. Source: Alexandria via LeMat-Bulk, functional PBE.

Output
The total magnetic moment comes out at 0.07 μB per formula unit. As for the uncorrected formation energy: 2.030 eV/atom. As for the density of states at the Fermi level: 7.82 states/eV/cell. The crystal system is tetragonal.

```
NaRePS2
1.0
4.5947 0.0000 0.0000
0.0000 4.5947 0.0000
0.0000 0.0000 4.5908
Re S Na P
1 2 1 1
direct
0.5000 0.5000 0.5000
0.0000 0.5000 0.0000
0.5000 0.0000 0.0000
0.0000 0.0000 0.0000
0.0000 0.0000 0.5000
```

---

6.
An optimized crystal structure of Ac2TbSm7. Source: Alexandria via LeMat-Bulk, functional PBE.

Output
The total magnetic moment comes out at 0.00 μB per formula unit. As for the density of states at the Fermi level: 20.04 states/eV/cell. For the energy of formation, the calculation gives 0.1935 eV/atom. The crystal system is orthorhombic.

```
Ac2TbSm7
1.0
3.5707 0.0000 0.0000
0.0000 12.1591 -9.5987
0.0000 -6.9493 13.8450
Ac Tb Sm
2 1 7
direct
0.5000 0.7939 0.2061
0.5000 0.2061 0.7939
0.0000 0.0000 0.0000
0.0000 0.6846 0.3154
0.0000 0.3154 0.6846
0.5000 0.1480 0.3408
0.5000 0.8520 0.6592
0.5000 0.3408 0.1480
0.5000 0.6592 0.8520
0.5000 0.5000 0.5000
```

---

7.
An optimized crystal structure of NaLiRe3. Source: Alexandria via LeMat-Bulk, functional PBE.

Output
The total magnetic moment comes out at 0.00 μB per formula unit. As for the density of states at the Fermi level: 5.70 states/eV/cell. For the energy of formation, the calculation gives 1.8650 eV/atom. The crystal system is cubic.

```
NaLiRe3
1.0
-1.4553 -3.4442 2.0118
-0.8957 -1.8047 -3.7375
3.8869 -1.7054 -0.1080
Re Li Na
3 1 1
direct
0.0000 0.5000 0.0000
0.0000 0.0000 0.5000
0.5000 0.0000 0.0000
0.0000 0.0000 0.0000
0.5000 0.5000 0.5000
```

---

8.
An optimized crystal structure of PuMgZrIn. Source: Alexandria via LeMat-Bulk, functional PBE.

Output
The total magnetic moment comes out at 6.23 μB per formula unit. As for the density of states at the Fermi level: 9.09 states/eV/cell. For the energy of formation, the calculation gives 0.0343 eV/atom. The crystal system is cubic.

```
PuMgZrIn
1.0
-2.5967 -3.0000 -3.2973
2.5421 -3.3423 -2.9970
-0.3891 -5.0682 0.8817
Mg In Zr Pu
1 1 1 1
direct
0.5000 0.5000 0.5000
0.0000 0.0000 0.0000
0.7500 0.7500 0.7500
0.2500 0.2500 0.2500
```

---

> Among the records above, which one has the highest total magnetic moment?

PuMgZrIn

---

> The highest total magnetic moment belongs to which entry?

PuMgZrIn